Material: FeSiTc
Method: DFT, PBE
State: relaxed

abc: 4.936 4.936 4.936
angles: 146.53 146.51 48.07
Last column: magnetic moment on the atom in μB.
Sites, in units of the cell vectors:
Fe  0.986  0.986  0.000  0.93
Tc  0.670  0.670  0.000  0.04
Si  0.344  0.344  0.000  -0.01

Summary:
SG = I4mm, No. 107
volume = 36.44 Å³ per cell
E above lowest polymorph = 27.1 meV per atom